1.
DFT (PBE) results for Li2CuIr after structural relaxation.

abc: 9.3105 9.3105 9.3105
angles: 16.35 16.35 16.35
Fractional positions:
Li1 0.0879 0.0879 0.0879
Li2 0.9121 0.9121 0.9121
Cu1 0.5000 0.5000 0.5000
Ir1 0.0000 0.0000 0.0000

Properties
ρ: 8.03 Mg/m³
crystal system: trigonal
V: 13.94 Å³ per atom
total magnetization: 0.0 μB/f.u.
final energy: -16.60 eV/cell
formation enthalpy at 0 K: 46 meV per atom
energy relative to the lowest polymorph listed for this composition: 0.163 eV per atom


2.
DFT (PBE) results for Li2CuIr after structural relaxation.

abc: 8.8577 8.8577 8.8577
angles: 17.29 17.29 17.29
Fractional positions:
Li1 0.2502 0.2502 0.2502
Li2 0.7498 0.7498 0.7498
Cu1 0.5000 0.5000 0.5000
Ir1 0.0000 0.0000 0.0000

Properties
ρ: 8.36 Mg/m³
crystal system: trigonal
V: 13.39 Å³ per atom
total magnetization: 0.0 μB/f.u.
final energy: -17.16 eV/cell
formation enthalpy at 0 K: -94 meV per atom
energy relative to the lowest polymorph listed for this composition: 0.023 eV per atom


3.
DFT (PBE) results for LiCuIr after structural relaxation.

abc: 7.0291 6.8027 2.6214
angles: 83.98 74.25 21.77
Fractional positions:
Li1 0.0000 0.0000 0.0000
Cu1 0.6657 0.6657 0.3343
Ir1 0.3347 0.3347 0.6653

Properties
ρ: 10.70 Mg/m³
crystal system: orthorhombic
V: 13.59 Å³ per atom
total magnetization: 0.0 μB/f.u.
final energy: -14.81 eV/cell
formation enthalpy at 0 K: 21 meV per atom
energy relative to the lowest polymorph listed for this composition: 0.170 eV per atom


4.
DFT (PBE) results for Li2Cu2Ir after structural relaxation.

abc: 6.3389 6.3389 6.3389
angles: 149.21 149.21 44.10
Fractional positions:
Li1 0.2500 0.7500 0.5000
Li2 0.7500 0.2500 0.5000
Cu1 0.0972 0.0972 0.0000
Cu2 0.9028 0.9028 0.0000
Ir1 0.5000 0.5000 0.0000

Properties
ρ: 8.31 Mg/m³
crystal system: tetragonal
V: 13.31 Å³ per atom
total magnetization: 0.0 μB/f.u.
final energy: -19.16 eV/cell
formation enthalpy at 0 K: 345 meV per atom
energy relative to the lowest polymorph listed for this composition: 0.252 eV per atom


5.
DFT (PBE) results for Li2CuIr after structural relaxation.

abc: 4.1020 4.1020 4.1020
angles: 60.00 60.00 60.00
Fractional positions:
Li1 0.2500 0.2500 0.2500
Li2 0.7500 0.7500 0.7500
Cu1 0.0000 0.0000 0.0000
Ir1 0.5000 0.5000 0.5000

Properties
ρ: 9.17 Mg/m³
crystal system: cubic
V: 12.20 Å³ per atom
total magnetization: 0.0 μB/f.u.
final energy: -16.35 eV/cell
formation enthalpy at 0 K: 109 meV per atom
energy relative to the lowest polymorph listed for this composition: 0.226 eV per atom


6.
DFT (PBE) results for Li2Cu2Ir after structural relaxation.

abc: 6.9811 6.9811 2.5683
angles: 90.00 90.00 90.00
Fractional positions:
Li1 0.1755 0.3245 0.0000
Li2 0.3245 0.8245 0.0000
Li3 0.6755 0.1755 0.0000
Li4 0.8245 0.6755 0.0000
Cu1 0.1238 0.6238 0.5000
Cu2 0.3762 0.1238 0.5000
Cu3 0.6238 0.8762 0.5000
Cu4 0.8762 0.3762 0.5000
Ir1 0.0000 0.0000 0.5000
Ir2 0.5000 0.5000 0.5000

Properties
ρ: 8.84 Mg/m³
crystal system: tetragonal
V: 12.52 Å³ per atom
total magnetization: 0.0 μB/f.u.
final energy: -40.83 eV/cell
formation enthalpy at 0 K: 93 meV per atom
energy relative to the lowest polymorph listed for this composition: 0.000 eV per atom


7.
DFT (PBE) results for Li2CuIr after structural relaxation.

abc: 4.4560 4.4560 4.4560
angles: 129.60 129.60 74.05
Fractional positions:
Li1 0.0000 0.0000 0.0000
Li2 0.7500 0.2500 0.5000
Cu1 0.2500 0.7500 0.5000
Ir1 0.5000 0.5000 0.0000

Properties
ρ: 8.74 Mg/m³
crystal system: tetragonal
V: 12.81 Å³ per atom
total magnetization: 0.0 μB/f.u.
final energy: -16.67 eV/cell
formation enthalpy at 0 K: 29 meV per atom
energy relative to the lowest polymorph listed for this composition: 0.146 eV per atom


8.
DFT (PBE) results for Li12Cu6Ir after structural relaxation.

abc: 6.5932 6.5932 6.5932
angles: 89.40 89.40 89.40
Fractional positions:
Li1 0.0283 0.9195 0.3072
Li2 0.0805 0.6928 0.9717
Li3 0.1245 0.4653 0.3484
Li4 0.3072 0.0283 0.9195
Li5 0.3484 0.1245 0.4653
Li6 0.4653 0.3484 0.1245
Li7 0.5347 0.6516 0.8755
Li8 0.6516 0.8755 0.5347
Li9 0.6928 0.9717 0.0805
Li10 0.8755 0.5347 0.6516
Li11 0.9195 0.3072 0.0283
Li12 0.9717 0.0805 0.6928
Cu1 0.2358 0.7569 0.6074
Cu2 0.2431 0.3926 0.7642
Cu3 0.3926 0.7642 0.2431
Cu4 0.6074 0.2358 0.7569
Cu5 0.7569 0.6074 0.2358
Cu6 0.7642 0.2431 0.3926
Ir1 0.5000 0.5000 0.5000

Properties
ρ: 3.81 Mg/m³
crystal system: trigonal
V: 15.08 Å³ per atom
total magnetization: 0.0 μB/f.u.
final energy: -57.18 eV/cell
formation enthalpy at 0 K: -41 meV per atom